# 1
Compound: LaFePb2
Source: the Alexandria database
Functional: PBEsol
Structure: relaxed

a b c (Å): 4.5408 4.5408 16.7363
angles (deg): 90.00 90.00 120.00
Space group R-3m (No. 166, hexagonal axes)
Symmetry-distinct sites (fractional):
La: 0.0000 0.0000 0.0000 [3 per cell]
Fe: 0.0000 0.0000 0.5000 [3 per cell]
Pb: 0.0000 0.0000 0.2231 [6 per cell]

Values from the calculation:
ΔH_f (0 K) (meV per atom): -29
E_tot (eV/atom): -5.605
ΔE to the lowest computed polymorph (kJ per mole of atoms): 0.0


# 2
Compound: OsW2O2
Source: the Alexandria database
Functional: PBEsol
Structure: relaxed

a b c (Å): 3.169 3.169 11.713
angles (deg): 90.00 90.00 90.00
Space group I4/mmm (No. 139)
Symmetry-distinct sites (fractional):
Os: 0.000 0.000 0.000 [2 per cell]
W: 0.000 0.000 0.367 [4 per cell]
O: 0.000 0.500 0.250 [4 per cell]

Values from the calculation:
Formation energy from raw total energies (eV per atom): -0.67
E_tot (eV/atom): -10.741


# 3
Compound: Li2CuAg
Source: the Alexandria database
Functional: PBEsol
Structure: relaxed

a b c (Å): 2.679 3.965 5.367
angles (deg): 90.00 90.00 90.00
Space group Pmm2 (No. 25)
Symmetry-distinct sites (fractional):
Li: 0.000 0.000 0.000 [1 per cell]
Li: 0.500 0.500 0.280 [1 per cell]
Cu: 0.500 0.500 0.768 [1 per cell]
Ag: 0.000 0.000 0.523 [1 per cell]

Values from the calculation:
ΔH_f (0 K) (meV per atom): -47
E_tot (eV/atom): -2.942


# 4
Compound: CoTe2SeN
Source: the Alexandria database
Functional: PBEsol
Structure: relaxed

a b c (Å): 4.562 4.562 4.409
angles (deg): 90.00 90.00 90.00
Space group P4/mmm (No. 123)
Symmetry-distinct sites (fractional):
Co: 0.000 0.000 0.000 [1 per cell]
Te: 0.000 0.500 0.500 [2 per cell]
Se: 0.500 0.500 0.000 [1 per cell]
N: 0.500 0.500 0.500 [1 per cell]

Values from the calculation:
Formation energy from raw total energies (eV per atom): 1.00
E_tot (eV/atom): -4.435


# 5
Compound: CaSiAs2
Source: the Alexandria database
Functional: PBEsol
Structure: relaxed

a b c (Å): 4.332 3.764 6.106
angles (deg): 90.00 107.70 90.00
Space group Pm (No. 6)
Symmetry-distinct sites (fractional):
Ca: 0.000 0.000 0.000 [1 per cell]
Si: 0.612 0.500 0.249 [1 per cell]
As: 0.437 0.500 0.855 [1 per cell]
As: 0.778 0.000 0.481 [1 per cell]

Values from the calculation:
Formation energy from raw total energies (eV per atom): -0.38
E_tot (eV/atom): -4.899


# 6
Compound: CoTePb2
Source: the Alexandria database
Functional: PBEsol
Structure: relaxed

a b c (Å): 6.355 8.173 3.761
angles (deg): 90.00 90.00 90.00
Space group Cmmm (No. 65)
Symmetry-distinct sites (fractional):
Co: 0.000 0.000 0.000 [2 per cell]
Te: 0.000 0.500 0.000 [2 per cell]
Pb: 0.250 0.250 0.500 [4 per cell]

Values from the calculation:
Formation energy from raw total energies (eV per atom): 0.53
E_tot (eV/atom): -4.283
ΔE to the lowest computed polymorph (kJ per mole of atoms): 38.9


# 7
Compound: BaSiPt2
Source: the Alexandria database
Functional: PBEsol
Structure: relaxed

a b c (Å): 4.351 4.754 4.805
angles (deg): 90.00 90.00 90.00
Space group Pmm2 (No. 25)
Symmetry-distinct sites (fractional):
Ba: 0.000 0.000 0.000 [1 per cell]
Si: 0.500 0.500 0.337 [1 per cell]
Pt: 0.000 0.500 0.515 [1 per cell]
Pt: 0.500 0.500 0.858 [1 per cell]

Values from the calculation:
Formation energy from raw total energies (eV per atom): -0.69
E_tot (eV/atom): -6.144


# 8
Compound: Li3Ti2Ni2O8
Source: the Alexandria database
Functional: PBEsol
Structure: relaxed

a b c (Å): 5.774 5.801 5.803
angles (deg): 119.43 119.77 90.11
Space group P-1 (No. 2)
Symmetry-distinct sites (fractional):
Li: 0.000 0.000 0.000 [1 per cell]
Li: 0.000 0.500 0.500 [1 per cell]
Li: 0.500 0.000 0.000 [1 per cell]
Ti: 0.500 0.000 0.500 [1 per cell]
Ti: 0.500 0.500 0.500 [1 per cell]
Ni: 0.000 0.500 0.000 [1 per cell]
Ni: 0.500 0.500 0.000 [1 per cell]
O: 0.260 0.750 0.023 [2 per cell]
O: 0.263 0.291 0.029 [2 per cell]
O: 0.270 0.251 0.497 [2 per cell]
O: 0.276 0.750 0.507 [2 per cell]

Values from the calculation:
Formation energy from raw total energies (eV per atom): -2.04
E_tot (eV/atom): -7.165


# 9
Compound: Sc3Ta
Source: the Alexandria database
Functional: PBEsol
Structure: relaxed

a b c (Å): 4.942 6.228 5.471
angles (deg): 90.00 90.00 90.00
Space group Pmmn (No. 59, origin choice 2)
Symmetry-distinct sites (fractional):
Sc: 0.250 0.001 0.166 [4 per cell]
Sc: 0.250 0.750 0.648 [2 per cell]
Ta: 0.250 0.250 0.673 [2 per cell]

Values from the calculation:
ΔH_f (0 K) (meV per atom): 120
E_tot (eV/atom): -7.971
ΔE to the lowest computed polymorph (kJ per mole of atoms): 0.0


# 10
Compound: CsLi2I3
Source: the Alexandria database
Functional: PBEsol
Structure: relaxed

a b c (Å): 4.502 4.502 10.757
angles (deg): 90.00 90.00 90.00
Space group P-4m2 (No. 115)
Symmetry-distinct sites (fractional):
Cs: 0.000 0.000 0.000 [1 per cell]
Li: 0.000 0.500 0.645 [2 per cell]
I: 0.000 0.000 0.500 [1 per cell]
I: 0.500 0.500 0.204 [2 per cell]

Values from the calculation:
Formation energy from raw total energies (eV per atom): -1.31
E_tot (eV/atom): -3.003


# 11
Compound: CaMg2Sc
Source: the Alexandria database
Functional: PBEsol
Structure: relaxed

a b c (Å): 3.656 5.326 5.325
angles (deg): 90.00 90.00 90.00
Space group Pmm2 (No. 25)
Symmetry-distinct sites (fractional):
Ca: 0.000 0.000 0.000 [1 per cell]
Mg: 0.500 0.000 0.500 [1 per cell]
Mg: 0.500 0.500 0.003 [1 per cell]
Sc: 0.000 0.500 0.503 [1 per cell]

Values from the calculation:
ΔH_f (0 K) (meV per atom): -10
E_tot (eV/atom): -3.053


# 12
Compound: MnFeP2
Source: the Alexandria database
Functional: PBEsol
Structure: relaxed

a b c (Å): 5.485 5.485 5.485
angles (deg): 90.00 90.00 90.00
Space group Fm-3m (No. 225)
Symmetry-distinct sites (fractional):
Mn: 0.000 0.000 0.000 [4 per cell]
Fe: 0.000 0.000 0.500 [4 per cell]
P: 0.250 0.250 0.250 [8 per cell]

Values from the calculation:
ΔH_f (0 K) (meV per atom): -374
E_tot (eV/atom): -7.951
ΔE to the lowest computed polymorph (kJ per mole of atoms): 32.1